A plane-wave DFT calculation with PBE was carried out for a relaxed structure of La2PrSi2Ge2Pt4.

Calculated values
Space-group type: Immm, No. 71
Final energy, Ry/atom: -0.4742

a b c (Å): 12.8938 12.8938 12.8938
angles (deg): 161.15 160.70 27.10
Closest atoms and distances in Å follow each position.
Positions (direct):
1 Si 0.8020 0.3020 0.5000  5 Pt 2.41-2.56
2 Si 0.1980 0.6980 0.5000  5 Pt 2.41-2.56
3 Pt 0.1019 0.6019 0.5000  1 Si 2.41, 2 Ge 2.52
4 Pt 0.8981 0.3981 0.5000  1 Si 2.41, 2 Ge 2.52
5 Pt 0.2476 0.2476 0.0000  4 Si 2.45-2.56
6 Pt 0.7524 0.7524 0.0000  4 Si 2.45-2.56
7 Ge 0.5500 0.5500 0.0000  1 Ge 2.51, 2 Pt 2.52
8 Ge 0.4500 0.4500 0.0000  1 Ge 2.51, 2 Pt 2.52
9 La 0.6473 0.1473 0.5000  2 Ge 3.22, 8 Pt 3.23-3.38, 4 Si 3.28
10 La 0.3527 0.8527 0.5000  2 Ge 3.22, 8 Pt 3.23-3.38, 4 Si 3.28
11 Pr 0.0000 0.0000 0.0000  8 Ge 3.27, 4 Pt 3.31



A plane-wave DFT calculation with PBE was carried out for a relaxed structure of LaPrSc2Ge2.

Calculated values
Space-group type: I4mm, No. 107
Final energy, Ry/atom: -0.4400

a b c (Å): 8.6558 8.6558 8.6558
angles (deg): 150.85 150.85 41.69
Closest atoms and distances in Å follow each position.
Positions (direct):
1 Ge 0.8794 0.8794 0.0000  4 Sc 2.92, 4 Pr 3.21
2 Ge 0.1207 0.1207 0.0000  4 Sc 2.93, 4 La 3.21
3 Sc 0.9998 0.4998 0.5000  4 Ge 2.92-2.93, 4 Sc 3.08
4 Sc 0.4998 0.9998 0.5000  4 Ge 2.92-2.93, 4 Sc 3.08
5 Pr 0.3242 0.3242 0.0000  5 Ge 3.21-3.29, 4 Sc 3.58
6 La 0.6763 0.6763 0.0000  5 Ge 3.21-3.29, 4 Sc 3.59



A plane-wave DFT calculation with PBE was carried out for a relaxed structure of La2Pr2SiGe3.

Calculated values
Space-group type: Cm, No. 8
Final energy, Ry/atom: -0.4156

a b c (Å): 7.1654 7.1654 6.7256
angles (deg): 90.17 90.17 37.24
Closest atoms and distances in Å follow each position.
Positions (direct):
1 Pr 0.7238 0.7238 0.7468  4 Ge 3.14-3.18, 2 Si 3.14
2 Pr 0.2745 0.2745 0.2520  5 Ge 3.16-3.17, 1 Si 3.18
3 Ge 0.9044 0.9044 0.4470  1 Ge 2.64, 1 Si 2.71
4 Ge 0.0986 0.0986 0.9402  1 Si 2.57, 1 Ge 2.79
5 Ge 0.9011 0.9011 0.0545  2 Ge 2.64-2.79
6 La 0.4508 0.4508 0.7505  6 Ge 3.13-3.30, 2 Si 3.29
7 La 0.5506 0.5506 0.2515  2 Si 3.14, 6 Ge 3.17-3.33
8 Si 0.0962 0.0962 0.5575  2 Ge 2.57-2.71



A plane-wave DFT calculation with PBE was carried out for a relaxed structure of LaPrZn2Ge2.

Calculated values
Space-group type: P6_3/mmc, No. 194
Polymorph energy (0 for the lowest one), meV/atom: 0
Final energy, Ry/atom: -0.3149

a b c (Å): 4.3220 4.3220 16.9423
angles (deg): 90.00 90.00 120.00
Closest atoms and distances in Å follow each position.
Positions (direct):
1 La 0.0000 0.0000 0.5000  6 Ge 3.18, 6 Zn 3.46
2 La 0.0000 0.0000 0.0000  6 Ge 3.18, 6 Zn 3.46
3 Ge 0.6667 0.3333 0.3837  3 Zn 2.53
4 Ge 0.3333 0.6667 0.6163  3 Zn 2.53
5 Ge 0.6667 0.3333 0.1163  3 Zn 2.53
6 Ge 0.3333 0.6667 0.8837  3 Zn 2.53
7 Zn 0.6667 0.3333 0.6418  3 Ge 2.53
8 Zn 0.6667 0.3333 0.8582  3 Ge 2.53
9 Zn 0.3333 0.6667 0.1418  3 Ge 2.53
10 Zn 0.3333 0.6667 0.3582  3 Ge 2.53
11 Pr 0.0000 0.0000 0.7500  6 Zn 3.10, 6 Ge 3.37
12 Pr 0.0000 0.0000 0.2500  6 Zn 3.10, 6 Ge 3.37



A plane-wave DFT calculation with PBE was carried out for a relaxed structure of LaGe2Pt2.

Calculated values
Space-group type: P2_1/c, No. 14
Final energy, Ry/atom: -0.4585

a b c (Å): 9.8979 4.4878 8.9329
angles (deg): 90.00 90.89 90.00
Closest atoms and distances in Å follow each position.
Positions (direct):
1 La 0.2440 0.7548 0.6275  7 Ge 3.21-3.55, 8 Pt 3.21-3.57
2 La 0.7560 0.2452 0.3725  7 Ge 3.21-3.55, 8 Pt 3.21-3.57
3 La 0.7560 0.2548 0.8725  7 Ge 3.21-3.55, 8 Pt 3.21-3.57
4 La 0.2440 0.7452 0.1275  7 Ge 3.21-3.55, 8 Pt 3.21-3.57
5 Ge 0.0001 0.7434 0.3742  4 Pt 2.55-2.56
6 Ge 0.0001 0.7566 0.8742  4 Pt 2.55-2.56
7 Ge 0.3784 0.3020 0.8899  5 Pt 2.51-2.61
8 Ge 0.9999 0.2566 0.6258  4 Pt 2.55-2.56
9 Ge 0.3784 0.1980 0.3899  5 Pt 2.51-2.61
10 Ge 0.6216 0.6980 0.1101  5 Pt 2.51-2.61
11 Ge 0.6216 0.8020 0.6101  5 Pt 2.51-2.61
12 Ge 0.9999 0.2434 0.1258  4 Pt 2.55-2.56
13 Pt 0.1243 0.2443 0.3776  5 Ge 2.52-2.56
14 Pt 0.5002 0.1852 0.1402  4 Ge 2.51-2.61
15 Pt 0.4998 0.8148 0.8598  4 Ge 2.51-2.61
16 Pt 0.8757 0.7443 0.1224  5 Ge 2.52-2.56
17 Pt 0.8757 0.7557 0.6224  5 Ge 2.52-2.56
18 Pt 0.1243 0.2557 0.8776  5 Ge 2.52-2.56
19 Pt 0.4998 0.6852 0.3598  4 Ge 2.51-2.61
20 Pt 0.5002 0.3148 0.6402  4 Ge 2.51-2.61



A plane-wave DFT calculation with PBE was carried out for a relaxed structure of LaGePt.

Calculated values
Space-group type: F-43m, No. 216
Final energy, Ry/atom: -0.3965

a b c (Å): 4.8781 4.8781 4.8781
angles (deg): 60.00 60.00 60.00
Closest atoms and distances in Å follow each position.
Positions (direct):
1 Pt 0.7500 0.7500 0.7500  4 La 2.99
2 Ge 0.2500 0.2500 0.2500  4 La 2.99
3 La 0.0000 0.0000 0.0000  4 Ge 2.99, 4 Pt 2.99



A plane-wave DFT calculation with PBE was carried out for a relaxed structure of LaGePt.

Calculated values
Space-group type: P2_13, No. 198
Final energy, Ry/atom: -0.4581

a b c (Å): 6.5856 6.5856 6.5856
angles (deg): 90.00 90.00 90.00
Closest atoms and distances in Å follow each position.
Positions (direct):
1 La 0.9020 0.5980 0.4020  4 Ge 3.14-3.21, 3 Pt 3.31
2 La 0.0980 0.0980 0.0980  4 Ge 3.14-3.21, 3 Pt 3.31
3 La 0.4020 0.9020 0.5980  4 Ge 3.14-3.21, 3 Pt 3.31
4 La 0.5980 0.4020 0.9020  4 Ge 3.14-3.21, 3 Pt 3.31
5 Ge 0.3169 0.6831 0.1831  3 Pt 2.44
6 Ge 0.8169 0.8169 0.8169  3 Pt 2.44
7 Ge 0.6831 0.1831 0.3169  3 Pt 2.44
8 Ge 0.1831 0.3169 0.6831  3 Pt 2.44
9 Pt 0.5705 0.9295 0.0705  3 Ge 2.44
10 Pt 0.4295 0.4295 0.4295  3 Ge 2.44
11 Pt 0.0705 0.5705 0.9295  3 Ge 2.44
12 Pt 0.9295 0.0705 0.5705  3 Ge 2.44



A plane-wave DFT calculation with PBE was carried out for a relaxed structure of LaGe2Pt2.

Calculated values
Space-group type: P2_1/m, No. 11
Final energy, Ry/atom: -0.4578

a b c (Å): 4.4847 4.4553 9.9129
angles (deg): 90.00 90.74 90.00
Closest atoms and distances in Å follow each position.
Positions (direct):
1 Ge 0.7187 0.2500 0.1248  5 Pt 2.50-2.58
2 Ge 0.2478 0.2500 0.4995  4 Pt 2.54-2.55
3 Ge 0.2813 0.7500 0.8752  5 Pt 2.50-2.58
4 Ge 0.7522 0.7500 0.5005  4 Pt 2.54-2.55
5 La 0.2456 0.7500 0.2545  8 Pt 3.22-3.51, 8 Ge 3.30-3.48
6 La 0.7544 0.2500 0.7455  8 Pt 3.22-3.51, 8 Ge 3.30-3.48
7 Pt 0.7440 0.2500 0.3767  5 Ge 2.50-2.55
8 Pt 0.7867 0.7500 0.0015  4 Ge 2.56-2.58
9 Pt 0.2560 0.7500 0.6233  5 Ge 2.50-2.55
10 Pt 0.2133 0.2500 0.9985  4 Ge 2.56-2.58



A plane-wave DFT calculation with PBE was carried out for a relaxed structure of LaGePt.

Calculated values
Space-group type: I4_1md, No. 109
Final energy, Ry/atom: -0.4638

a b c (Å): 8.1549 8.1549 8.1549
angles (deg): 149.42 149.42 43.80
Closest atoms and distances in Å follow each position.
Positions (direct):
1 Ge 0.3979 0.3979 0.0000  3 Pt 2.50-2.51
2 Ge 0.1479 0.6479 0.5000  3 Pt 2.50-2.51
3 Pt 0.3139 0.8139 0.5000  3 Ge 2.50-2.51
4 Pt 0.5639 0.5639 0.0000  3 Ge 2.50-2.51
5 La 0.9790 0.9790 0.0000  6 Ge 3.28-3.34, 6 Pt 3.30
6 La 0.7290 0.2290 0.5000  6 Ge 3.28-3.34, 6 Pt 3.30



A plane-wave DFT calculation with PBE was carried out for a relaxed structure of LaSiGe3Pt6.

Calculated values
Space-group type: P-6m2, No. 187
Final energy, Ry/atom: -0.4577

a b c (Å): 7.2885 7.2885 4.0671
angles (deg): 90.00 90.00 120.00
Closest atoms and distances in Å follow each position.
Positions (direct):
1 Ge 0.3888 0.1944 0.5000  6 Pt 2.49-2.67
2 Ge 0.8056 0.1944 0.5000  6 Pt 2.49-2.67
3 Ge 0.8056 0.6112 0.5000  6 Pt 2.49-2.67
4 Pt 0.1996 0.8004 0.5000  2 Ge 2.49, 2 Si 2.64
5 Pt 0.5306 0.4694 0.0000  1 Si 2.49, 4 Ge 2.67
6 Pt 0.5306 0.0612 0.0000  1 Si 2.49, 4 Ge 2.67
7 Pt 0.6008 0.8004 0.5000  2 Ge 2.49, 2 Si 2.64
8 Pt 0.9388 0.4694 0.0000  1 Si 2.49, 4 Ge 2.67
9 Pt 0.1996 0.3992 0.5000  2 Ge 2.49, 2 Si 2.64
10 Si 0.3333 0.6667 0.0000  9 Pt 2.49-2.64
11 La 0.0000 0.0000 0.0000  6 Ge 3.19, 6 Pt 3.24



A plane-wave DFT calculation with PBE was carried out for a relaxed structure of LaSiGe2Pt.

Calculated values
Space-group type: I4mm, No. 107
Final energy, Ry/atom: -0.4349

a b c (Å): 5.8516 5.8516 5.8516
angles (deg): 134.83 134.83 65.80
Closest atoms and distances in Å follow each position.
Positions (direct):
1 Ge 0.6508 0.1508 0.5000  2 Pt 2.53, 2 Si 2.63
2 Ge 0.1508 0.6508 0.5000  2 Pt 2.53, 2 Si 2.63
3 La 0.4144 0.4144 0.0000  8 Ge 3.23-3.43, 4 Si 3.32, 5 Pt 3.48-3.49
4 Si 0.0114 0.0114 0.0000  1 Pt 2.38, 4 Ge 2.63
5 Pt 0.7696 0.7696 0.0000  1 Si 2.38, 4 Ge 2.53



A plane-wave DFT calculation with PBE was carried out for a relaxed structure of LaSmGe4Pt2.

Calculated values
Space-group type: Amm2, No. 38
Final energy, Ry/atom: -0.4357

a b c (Å): 4.4410 8.8994 8.8994
angles (deg): 28.45 90.00 90.00
Closest atoms and distances in Å follow each position.
Positions (direct):
1 Ge 0.0000 0.0360 0.0360  1 Pt 2.44, 2 Ge 2.53
2 Ge 0.0000 0.7498 0.7498  4 Pt 2.52-2.55
3 Ge 0.5000 0.9654 0.9654  1 Pt 2.47, 2 Ge 2.53
4 Ge 0.5000 0.2487 0.2487  4 Pt 2.53-2.54
5 Sm 0.5000 0.6086 0.6086  10 Ge 3.26-3.36, 4 Pt 3.33
6 Pt 0.5000 0.8221 0.8221  5 Ge 2.47-2.55
7 Pt 0.0000 0.1773 0.1773  5 Ge 2.44-2.54
8 La 0.0000 0.3920 0.3920  10 Ge 3.29-3.36, 4 Pt 3.34



| no. | total magnetic moment (Bohr magnetons per cell) |
| --- | --- |
| 1 | 0.023 |
| 2 | 1.772 |
| 3 | 0.025 |
| 4 | 0.001 |
| 5 | 0.000 |
| 6 | 0.001 |
| 7 | 0.001 |
| 8 | 0.000 |
| 9 | 0.020 |
| 10 | 0.002 |
| 11 | 0.000 |
| 12 | 0.003 |